1.
BaSrCd2Br8 | PBE-GGA | relaxed

Calculated values
- V (Å³/atom) = 37.7
- space group = No. 147
- density (g/cm³) = 3.99
- raw formation energy (eV per formula unit) = -16.82

a = 7.1241 Å, b = 7.1241 Å, c = 10.2997 Å
α = 90.00°, β = 90.00°, γ = 120.00°
Last column: nearest neighbours and their distance in Å.
Atoms (fractional coordinates):
Ba (0.0000, 0.0000, 0.0000)  12 Br 3.75-4.12
Sr (0.0000, 0.0000, 0.5000)  6 Br 3.05
Cd (0.3333, 0.6667, 0.7608)  4 Br 2.60-2.63
Cd (0.6667, 0.3333, 0.2392)  4 Br 2.60-2.63
Br (0.0189, 0.7015, 0.2949)  1 Cd 2.63
Br (0.2985, 0.3173, 0.2949)  1 Cd 2.63
Br (0.3173, 0.0189, 0.7051)  1 Cd 2.63
Br (0.3333, 0.6667, 0.0128)  1 Cd 2.60
Br (0.6667, 0.3333, 0.9872)  1 Cd 2.60
Br (0.6827, 0.9811, 0.2949)  1 Cd 2.63
Br (0.7015, 0.6827, 0.7051)  1 Cd 2.63
Br (0.9811, 0.2985, 0.7051)  1 Cd 2.63

2.
Ce2TmH | PBE-GGA | relaxed

Calculated values
- V (Å³/atom) = 21.8
- space group = No. 123
- density (g/cm³) = 8.56
- energy above the most stable polymorph in this dataset (kJ/mol of atoms) = 14.1

a = 3.2241 Å, b = 3.2241 Å, c = 8.4045 Å
α = 90.00°, β = 90.00°, γ = 90.00°
Last column: nearest neighbours and their distance in Å.
Atoms (fractional coordinates):
Ce (0.0000, 0.0000, 0.1653)  4 H 2.67, 1 Ce 2.78
Ce (0.0000, 0.0000, 0.8347)  4 H 2.67, 1 Ce 2.78
Tm (0.5000, 0.5000, 0.5000)  4 Tm 3.22
H (0.5000, 0.5000, 0.0000)  8 Ce 2.67

3.
FeCo2As | PBE-GGA | relaxed

Calculated values
- V (Å³/atom) = 11.6
- space group = No. 216
- density (g/cm³) = 8.88
- electronic total energy (eV per cell) = -108.76

a = 5.7072 Å, b = 5.7072 Å, c = 5.7072 Å
α = 90.00°, β = 90.00°, γ = 90.00°
Last column: nearest neighbours and their distance in Å.
Atoms (fractional coordinates):
Fe (0.0000, 0.0000, 0.0000)  4 As 2.47, 4 Co 2.47
Fe (0.0000, 0.5000, 0.5000)  4 As 2.47, 4 Co 2.47
Fe (0.5000, 0.0000, 0.5000)  4 As 2.47, 4 Co 2.47
Fe (0.5000, 0.5000, 0.0000)  4 As 2.47, 4 Co 2.47
Co (0.0000, 0.0000, 0.5000)  4 As 2.47, 4 Co 2.47
Co (0.0000, 0.5000, 0.0000)  4 As 2.47, 4 Co 2.47
Co (0.2500, 0.2500, 0.7500)  4 Fe 2.47, 4 Co 2.47
Co (0.2500, 0.7500, 0.2500)  4 Fe 2.47, 4 Co 2.47
Co (0.5000, 0.0000, 0.0000)  4 As 2.47, 4 Co 2.47
Co (0.5000, 0.5000, 0.5000)  4 As 2.47, 4 Co 2.47
Co (0.7500, 0.2500, 0.2500)  4 Fe 2.47, 4 Co 2.47
Co (0.7500, 0.7500, 0.7500)  4 Fe 2.47, 4 Co 2.47
As (0.2500, 0.2500, 0.2500)  4 Fe 2.47, 4 Co 2.47
As (0.2500, 0.7500, 0.7500)  4 Co 2.47, 4 Fe 2.47
As (0.7500, 0.2500, 0.7500)  4 Co 2.47, 4 Fe 2.47
As (0.7500, 0.7500, 0.2500)  4 Fe 2.47, 4 Co 2.47

4.
IrRu2Rh | PBE-GGA | relaxed

Calculated values
- V (Å³/atom) = 14.1
- space group = No. 25
- density (g/cm³) = 14.61
- energy above the most stable polymorph in this dataset (kJ/mol of atoms) = 0.9

a = 2.7142 Å, b = 3.8435 Å, c = 5.4179 Å
α = 90.00°, β = 90.00°, γ = 90.00°
Last column: nearest neighbours and their distance in Å.
Atoms (fractional coordinates):
Ir (0.0000, 0.0000, 0.0000)  6 Ru 2.67-2.74, 2 Ir 2.71, 4 Rh 2.73
Ru (0.0000, 0.0000, 0.5063)  2 Ir 2.67-2.74, 6 Ru 2.70-2.71, 4 Rh 2.72
Ru (0.5000, 0.5000, 0.7506)  2 Rh 2.69-2.73, 6 Ru 2.70-2.71, 4 Ir 2.71
Rh (0.5000, 0.5000, 0.2550)  6 Ru 2.69-2.73, 2 Rh 2.71, 4 Ir 2.73

5.
CaGdTlZn | PBE-GGA | relaxed

Calculated values
- V (Å³/atom) = 26.4
- space group = No. 216
- density (g/cm³) = 7.34
- electronic total energy (eV per cell) = -84.54

a = 7.5063 Å, b = 7.5063 Å, c = 7.5063 Å
α = 90.00°, β = 90.00°, γ = 90.00°
Last column: nearest neighbours and their distance in Å.
Atoms (fractional coordinates):
Ca (0.0000, 0.0000, 0.0000)  4 Tl 3.25, 4 Zn 3.25
Ca (0.0000, 0.5000, 0.5000)  4 Tl 3.25, 4 Zn 3.25
Ca (0.5000, 0.0000, 0.5000)  4 Tl 3.25, 4 Zn 3.25
Ca (0.5000, 0.5000, 0.0000)  4 Tl 3.25, 4 Zn 3.25
Gd (0.0000, 0.0000, 0.5000)  4 Tl 3.25, 4 Zn 3.25
Gd (0.0000, 0.5000, 0.0000)  4 Tl 3.25, 4 Zn 3.25
Gd (0.5000, 0.0000, 0.0000)  4 Tl 3.25, 4 Zn 3.25
Gd (0.5000, 0.5000, 0.5000)  4 Tl 3.25, 4 Zn 3.25
Tl (0.2500, 0.2500, 0.2500)  4 Gd 3.25, 4 Ca 3.25
Tl (0.2500, 0.7500, 0.7500)  4 Gd 3.25, 4 Ca 3.25
Tl (0.7500, 0.2500, 0.7500)  4 Gd 3.25, 4 Ca 3.25
Tl (0.7500, 0.7500, 0.2500)  4 Gd 3.25, 4 Ca 3.25
Zn (0.2500, 0.2500, 0.7500)  4 Gd 3.25, 4 Ca 3.25
Zn (0.2500, 0.7500, 0.2500)  4 Gd 3.25, 4 Ca 3.25
Zn (0.7500, 0.2500, 0.2500)  4 Gd 3.25, 4 Ca 3.25
Zn (0.7500, 0.7500, 0.7500)  4 Gd 3.25, 4 Ca 3.25

6.
Nd2ZnTe | PBE-GGA | relaxed

Calculated values
- V (Å³/atom) = 27.3
- space group = No. 123
- density (g/cm³) = 7.31
- energy above the most stable polymorph in this dataset (kJ/mol of atoms) = 7.2
- raw formation energy (eV per formula unit) = -3.01

a = 3.9400 Å, b = 3.9400 Å, c = 7.0414 Å
α = 90.00°, β = 90.00°, γ = 90.00°
Last column: nearest neighbours and their distance in Å.
Atoms (fractional coordinates):
Nd (0.0000, 0.0000, 0.2440)  4 Zn 3.27, 4 Te 3.32, 2 Nd 3.44-3.60
Nd (0.0000, 0.0000, 0.7560)  4 Zn 3.27, 4 Te 3.32, 2 Nd 3.44-3.60
Zn (0.5000, 0.5000, 0.0000)  8 Nd 3.27, 2 Te 3.52
Te (0.5000, 0.5000, 0.5000)  8 Nd 3.32, 2 Zn 3.52

7.
SrN2Cl | PBE-GGA | relaxed

Calculated values
- V (Å³/atom) = 21.7
- space group = No. 166
- density (g/cm³) = 2.89
- energy above the most stable polymorph in this dataset (kJ/mol of atoms) = 164.3
- raw formation energy (eV per formula unit) = 2.72

a = 4.1205 Å, b = 4.1205 Å, c = 17.6980 Å
α = 90.00°, β = 90.00°, γ = 120.00°
Last column: nearest neighbours and their distance in Å.
Atoms (fractional coordinates):
Sr (0.0000, 0.0000, 0.0000)  6 N 2.65
Sr (0.3333, 0.6667, 0.6667)  6 N 2.65
Sr (0.6667, 0.3333, 0.3333)  6 N 2.65
N (0.0000, 0.0000, 0.3997)  1 Cl 1.77
N (0.0000, 0.0000, 0.6003)  1 Cl 1.77
N (0.3333, 0.6667, 0.0664)  1 Cl 1.77
N (0.3333, 0.6667, 0.2670)  1 Cl 1.77
N (0.6667, 0.3333, 0.7330)  1 Cl 1.77
N (0.6667, 0.3333, 0.9336)  1 Cl 1.77
Cl (0.0000, 0.0000, 0.5000)  2 N 1.77
Cl (0.3333, 0.6667, 0.1667)  2 N 1.77
Cl (0.6667, 0.3333, 0.8333)  2 N 1.77

Respective size of the total moment values: 0.0 0.0 17.6 0.0 28.3 0.0 8.8 μB per cell.